1.
{
  "formula": "PmSi3Ru5",
  "functional": "PBE",
  "state": "relaxed",
  "cell": [[-2.631, -2.709, 1.418], [2.502, -2.422, -5.721], [8.437, -5.126, 5.859]],
  "species": ["Si", "Si", "Si", "Si", "Si", "Si", "Ru", "Ru", "Ru", "Ru", "Ru", "Ru", "Ru", "Ru", "Ru", "Ru", "Pm", "Pm"],
  "fractional_positions": [[0.625, 0.250, 0.455], [0.625, 0.250, 0.045], [0.884, 0.769, 0.250], [0.375, 0.750, 0.955], [0.116, 0.231, 0.750], [0.375, 0.750, 0.545], [0.806, 0.612, 0.437], [0.543, 0.087, 0.856], [0.457, 0.913, 0.144], [0.457, 0.913, 0.356], [0.000, 0.000, 0.500], [0.000, 0.000, 0.000], [0.543, 0.087, 0.644], [0.806, 0.612, 0.063], [0.194, 0.388, 0.563], [0.194, 0.388, 0.937], [0.819, 0.637, 0.750], [0.181, 0.363, 0.250]],
  "crystal_system": "orthorhombic"
}

***

2.
{
  "formula": "PmSi2TcRu",
  "functional": "PBE",
  "state": "relaxed",
  "cell": [[4.241, 0.000, 0.000], [0.000, 4.241, 0.000], [-2.120, -2.120, 4.891]],
  "species": ["Tc", "Si", "Si", "Pm", "Ru"],
  "fractional_positions": [[0.250, 0.750, 0.500], [0.367, 0.367, 0.733], [0.633, 0.633, 0.267], [0.000, 0.000, 0.000], [0.750, 0.250, 0.500]],
  "crystal_system": "tetragonal"
}

***

3.
{
  "formula": "PmSi3TcRu",
  "functional": "PBE",
  "state": "relaxed",
  "cell": [[5.613, 0.000, 0.000], [0.000, 7.551, 0.000], [0.000, -3.776, 5.514]],
  "species": ["Pm", "Pm", "Si", "Si", "Si", "Si", "Si", "Si", "Ru", "Ru", "Tc", "Tc"],
  "fractional_positions": [[0.750, 0.250, 0.500], [0.250, 0.750, 0.500], [0.500, 0.750, 0.000], [0.750, 0.746, 0.491], [0.000, 0.750, 0.000], [0.250, 0.254, 0.509], [0.000, 0.250, 0.000], [0.500, 0.250, 0.000], [0.250, 0.454, 0.908], [0.750, 0.546, 0.092], [0.250, 0.052, 0.105], [0.750, 0.948, 0.895]],
  "crystal_system": "orthorhombic"
}

***

4.
{
  "formula": "PmYSiRu",
  "functional": "PBE",
  "state": "relaxed",
  "cell": [[-1.439, -0.626, 4.712], [0.273, -4.491, 2.105], [3.378, -0.886, 3.531]],
  "species": ["Pm", "Si", "Y", "Ru"],
  "fractional_positions": [[0.000, 0.000, 0.000], [0.750, 0.750, 0.750], [0.500, 0.500, 0.500], [0.250, 0.250, 0.250]],
  "crystal_system": "cubic"
}

***

5.
{
  "formula": "PmSmRu",
  "functional": "PBE",
  "state": "relaxed",
  "cell": [[-3.633, 2.971, -1.233], [-3.970, 0.263, 2.781], [3.532, 6.171, 4.458]],
  "species": ["Pm", "Pm", "Ru", "Ru", "Sm", "Sm"],
  "fractional_positions": [[0.155, 0.561, 0.042], [0.155, 0.561, 0.536], [0.822, 0.227, 0.137], [0.822, 0.227, 0.441], [0.822, 0.227, 0.789], [0.488, 0.894, 0.289]],
  "relative_energy_mev_per_atom": 184,
  "formation_enthalpy_0k_ev_per_atom": -0.03,
  "crystal_system": "hexagonal"
}

***

6.
{
  "formula": "Pm5Sm3Ru2",
  "functional": "PBE",
  "state": "relaxed",
  "cell": [[6.914, 0.000, 0.000], [3.457, 9.464, -0.630], [3.457, 1.904, 9.292]],
  "species": ["Sm", "Sm", "Sm", "Sm", "Sm", "Sm", "Pm", "Pm", "Pm", "Pm", "Pm", "Pm", "Pm", "Pm", "Pm", "Pm", "Ru", "Ru", "Ru", "Ru"],
  "fractional_positions": [[0.182, 0.061, 0.574], [0.318, 0.426, 0.939], [0.750, 0.000, 0.000], [0.250, 0.000, 0.000], [0.818, 0.939, 0.426], [0.682, 0.574, 0.061], [0.938, 0.348, 0.777], [0.250, 0.500, 0.500], [0.750, 0.500, 0.500], [0.521, 0.729, 0.729], [0.438, 0.777, 0.348], [0.479, 0.271, 0.271], [0.979, 0.271, 0.271], [0.562, 0.223, 0.652], [0.062, 0.652, 0.223], [0.021, 0.729, 0.729], [0.344, 0.047, 0.266], [0.156, 0.734, 0.953], [0.656, 0.953, 0.734], [0.844, 0.266, 0.047]],
  "formation_enthalpy_0k_ev_per_atom": 0.03,
  "crystal_system": "orthorhombic"
}

***

7.
{
  "formula": "Pm4SmRu2",
  "functional": "PBE",
  "state": "relaxed",
  "cell": [[7.297, 0.268, 0.485], [-0.218, 6.666, -0.111], [-3.477, -3.238, 7.794]],
  "species": ["Pm", "Pm", "Pm", "Pm", "Pm", "Pm", "Pm", "Pm", "Ru", "Ru", "Ru", "Ru", "Sm", "Sm"],
  "fractional_positions": [[0.335, 0.074, 0.648], [0.702, 0.459, 0.995], [0.918, 0.993, 0.265], [0.270, 0.691, 0.824], [0.838, 0.288, 0.646], [0.611, 0.551, 0.373], [0.421, 0.989, 0.269], [0.768, 0.845, 0.820], [0.562, 0.102, 0.048], [0.473, 0.435, 0.594], [0.071, 0.664, 0.059], [0.966, 0.871, 0.587], [0.117, 0.541, 0.379], [0.197, 0.248, 0.994]],
  "relative_energy_mev_per_atom": 0,
  "formation_enthalpy_0k_ev_per_atom": -0.19,
  "crystal_system": "triclinic"
}

***

8.
{
  "formula": "PmSm5Ru3",
  "functional": "PBE",
  "state": "relaxed",
  "cell": [[-1.621, -3.804, 6.595], [-2.683, -7.033, -1.980], [7.377, -6.795, 1.645]],
  "species": ["Sm", "Sm", "Sm", "Sm", "Sm", "Sm", "Sm", "Sm", "Sm", "Sm", "Ru", "Ru", "Ru", "Ru", "Ru", "Ru", "Pm", "Pm"],
  "fractional_positions": [[0.967, 0.365, 0.333], [0.767, 0.767, 0.034], [0.698, 0.302, 0.000], [0.365, 0.967, 0.333], [0.567, 0.567, 0.632], [0.033, 0.635, 0.667], [0.635, 0.033, 0.667], [0.433, 0.433, 0.368], [0.233, 0.233, 0.966], [0.302, 0.698, 0.000], [0.333, 0.333, 0.167], [0.335, 0.335, 0.667], [0.000, 0.000, 0.500], [0.665, 0.665, 0.333], [0.000, 0.000, 0.000], [0.667, 0.667, 0.833], [0.102, 0.102, 0.700], [0.898, 0.898, 0.300]],
  "formation_enthalpy_0k_ev_per_atom": -0.16,
  "crystal_system": "monoclinic"
}

***

9.
{
  "formula": "Pm4Sm3Ru4",
  "functional": "PBE",
  "state": "relaxed",
  "cell": [[-3.489, 0.649, 0.714], [-2.020, -1.240, -8.743], [1.537, -7.833, 5.449]],
  "species": ["Sm", "Sm", "Sm", "Ru", "Ru", "Ru", "Ru", "Pm", "Pm", "Pm", "Pm"],
  "fractional_positions": [[0.000, 0.500, 0.000], [0.096, 0.096, 0.192], [0.904, 0.904, 0.808], [0.739, 0.239, 0.479], [0.261, 0.761, 0.521], [0.500, 0.771, 0.000], [0.500, 0.229, 0.000], [0.665, 0.474, 0.329], [0.665, 0.855, 0.329], [0.335, 0.526, 0.671], [0.335, 0.145, 0.671]],
  "formation_enthalpy_0k_ev_per_atom": -0.15,
  "crystal_system": "orthorhombic"
}

***

10.
{
  "formula": "Pm2SmRu",
  "functional": "PBE",
  "state": "relaxed",
  "cell": [[5.553, 0.000, 0.000], [2.777, 4.809, 0.000], [2.777, 1.603, 3.922]],
  "species": ["Sm", "Ru", "Pm", "Pm"],
  "fractional_positions": [[0.500, 0.500, 0.500], [0.000, 0.000, 0.000], [0.234, 0.234, 0.298], [0.766, 0.766, 0.702]],
  "relative_energy_mev_per_atom": 393,
  "formation_enthalpy_0k_ev_per_atom": 0.17,
  "crystal_system": "trigonal"
}

***

11.
{
  "formula": "Pm2Sm2Ru",
  "functional": "PBE",
  "state": "relaxed",
  "cell": [[-2.038, -2.618, -6.763], [3.399, -5.455, -3.108], [-5.449, -5.876, -1.066]],
  "species": ["Sm", "Sm", "Sm", "Sm", "Pm", "Pm", "Pm", "Pm", "Ru", "Ru"],
  "fractional_positions": [[0.351, 0.000, 0.904], [0.175, 0.000, 0.599], [0.825, 0.000, 0.401], [0.649, 0.000, 0.096], [0.570, 0.450, 0.752], [0.430, 0.550, 0.248], [0.980, 0.450, 0.248], [0.020, 0.550, 0.752], [0.874, 0.252, 0.000], [0.126, 0.748, 0.000]],
  "relative_energy_mev_per_atom": 0,
  "formation_enthalpy_0k_ev_per_atom": -0.12,
  "crystal_system": "monoclinic"
}

***

12.
{
  "formula": "Pm4SmRu2",
  "functional": "PBE",
  "state": "relaxed",
  "cell": [[6.588, 0.000, 0.000], [0.000, 7.377, -3.035], [0.000, -0.038, 7.967]],
  "species": ["Pm", "Pm", "Pm", "Pm", "Pm", "Pm", "Pm", "Pm", "Ru", "Ru", "Ru", "Ru", "Sm", "Sm"],
  "fractional_positions": [[0.002, 0.587, 0.243], [0.750, 0.759, 0.679], [0.250, 0.979, 0.624], [0.250, 0.241, 0.321], [0.998, 0.413, 0.757], [0.750, 0.021, 0.376], [0.498, 0.587, 0.243], [0.502, 0.413, 0.757], [0.250, 0.628, 0.592], [0.750, 0.372, 0.408], [0.250, 0.257, 0.983], [0.750, 0.743, 0.017], [0.750, 0.163, 0.028], [0.250, 0.837, 0.972]],
  "relative_energy_mev_per_atom": 61,
  "formation_enthalpy_0k_ev_per_atom": -0.13,
  "crystal_system": "monoclinic"
}

***

Number 1: density of states at the Fermi level 16.01 states/eV per cell, raw total energy -7.950 eV/atom. Number 2: density of states at the Fermi level 3.85 states/eV per cell, raw total energy -7.787 eV/atom. Number 3: density of states at the Fermi level 5.23 states/eV per cell, raw total energy -7.199 eV/atom. Number 4: density of states at the Fermi level 2.38 states/eV per cell, raw total energy -6.819 eV/atom. Number 5: density of states at the Fermi level 4.37 states/eV per cell, raw total energy -6.277 eV/atom. Number 6: density of states at the Fermi level 20.41 states/eV per cell, raw total energy -5.621 eV/atom. Number 7: density of states at the Fermi level 10.80 states/eV per cell, raw total energy -6.234 eV/atom. Number 8: density of states at the Fermi level 5.05 states/eV per cell, raw total energy -6.400 eV/atom. Number 9: density of states at the Fermi level 6.77 states/eV per cell, raw total energy -6.543 eV/atom. Number 10: density of states at the Fermi level 6.79 states/eV per cell, raw total energy -5.703 eV/atom. Number 11: density of states at the Fermi level 10.49 states/eV per cell, raw total energy -5.765 eV/atom. Number 12: density of states at the Fermi level 14.41 states/eV per cell, raw total energy -6.173 eV/atom.